#a
Material: BeZn3As
Method: DFT, GGA-PBE
State: relaxed

a b c (Å): 4.3684 4.3684 4.3684
angles (deg): 90.00 90.00 90.00
Atoms (fractional coordinates):
Be 0.0000 0.0000 0.0000
Zn 0.0000 0.0000 0.5000
Zn 0.0000 0.5000 0.0000
Zn 0.5000 0.0000 0.0000
As 0.5000 0.5000 0.5000

For the theoretical density, the calculation gives 5.581 g cm⁻³. Its total magnetization is 0.00 μB/f.u.

#b
Material: BeZn3As
Method: DFT, GGA-PBE
State: relaxed

a b c (Å): 4.8908 4.8908 4.8908
angles (deg): 90.00 90.00 90.00
Atoms (fractional coordinates):
Be 0.0000 0.0000 0.0000
Zn 0.0000 0.5000 0.5000
Zn 0.5000 0.0000 0.5000
Zn 0.5000 0.5000 0.0000
As 0.5000 0.5000 0.5000

For the theoretical density, the calculation gives 3.977 g cm⁻³. Its total magnetization is 0.00 μB/f.u.

The most stable of them is #a.